A geometry-optimized ErMg2Zn structure, computed with PBE-GGA.

The structure in POSCAR format:
```
ErMg2Zn
1.0
-2.364 2.364 7.960
2.364 -2.364 7.960
2.364 2.364 -7.960
Er Mg Zn
2 4 2
direct
0.145 0.145 0.000
0.855 0.855 0.000
0.000 0.500 0.500
0.359 0.359 0.000
0.500 0.000 0.500
0.641 0.641 0.000
0.250 0.750 0.500
0.750 0.250 0.500
```

Its volume is 22.24 Å³ per atom. The space group is I4/mmm, No. 139. The calculation puts the density of states at the Fermi level at 2.93 states/eV/cell. The calculation puts the calculated total energy at -2.459 eV per atom.